# LiTa2Zn | the Alexandria database | PBE | relaxed
# DOS at the Fermi energy = 3.644 states/eV per cell
# crystal system = orthorhombic
# calculated formation energy = 30.06 kJ per mole of atoms
# electronic total energy = -6.41 eV/atom
data_LiTa2Zn
_symmetry_space_group_name_H-M 'P m m m'
_symmetry_Int_Tables_number 47
_symmetry_space_group_name_Hall '-P 2 2'
_cell_length_a 2.852
_cell_length_b 4.098
_cell_length_c 5.482
_cell_angle_alpha 90.00
_cell_angle_beta 90.00
_cell_angle_gamma 90.00
loop_
_atom_site_label
_atom_site_type_symbol
_atom_site_fract_x
_atom_site_fract_y
_atom_site_fract_z
Li1 Li 0.000 0.000 0.000
Ta1 Ta 0.500 0.500 0.248
Zn1 Zn 0.000 0.000 0.500